# PBEsol SrCa2I6, relaxed
# SG: C2/c, No. 15
# Formation energy without anion corrections: -1.587 eV/atom
# Magnetic moment: 0.0 Bohr magnetons per cell
data_SrCa2I6
_chemical_formula_sum 'Sr2 Ca4 I12'
_space_group_name_H-M_alt 'P 1'
_space_group_IT_number 1
_space_group_name_Hall 'P 1'
_cell_length_a 8.261
_cell_length_b 8.261
_cell_length_c 12.162
_cell_angle_alpha 91.51
_cell_angle_beta 91.51
_cell_angle_gamma 120.45
loop_
_atom_site_label
_atom_site_fract_x
_atom_site_fract_y
_atom_site_fract_z
I1 0.291 0.421 0.877
I2 0.709 0.579 0.123
I3 0.079 0.416 0.201
Ca1 0.705 0.420 0.574
Ca2 0.420 0.705 0.074
I4 0.421 0.291 0.377
I5 0.921 0.584 0.799
Sr1 0.995 0.005 0.750
I6 0.246 0.967 0.044
Ca3 0.580 0.295 0.926
Ca4 0.295 0.580 0.426
I7 0.967 0.246 0.544
I8 0.033 0.754 0.456
I9 0.416 0.079 0.701
I10 0.579 0.709 0.623
I11 0.754 0.033 0.956
I12 0.584 0.921 0.299
Sr2 0.005 0.995 0.250

---

# PBEsol Be3ZnIn, relaxed
# ΔH_f (0 K): 0.729 eV per atom
# SG: Pm-3m, No. 221
# Distance to the lowest polymorph of the same formula: 0.000 eV per atom
# Magnetic moment: 0.0 Bohr magnetons per cell
data_Be3ZnIn
_chemical_formula_sum 'Be3 Zn1 In1'
_space_group_name_H-M_alt 'P 1'
_space_group_IT_number 1
_space_group_name_Hall 'P 1'
_cell_length_a 4.217
_cell_length_b 4.217
_cell_length_c 4.217
_cell_angle_alpha 90.00
_cell_angle_beta 90.00
_cell_angle_gamma 90.00
loop_
_atom_site_label
_atom_site_fract_x
_atom_site_fract_y
_atom_site_fract_z
In1 0.500 0.500 0.500
Zn1 0.000 0.000 0.000
Be1 0.000 0.500 0.000
Be2 0.500 0.000 0.000
Be3 0.000 0.000 0.500

---

Look up the magnetic moment of the second one.
0.0 Bohr magnetons per cell